CsTaFe2Tc PBEsol optimized geometry; raw total energy = -0.510 Ry/atom; DFT formation energy = 1.594 eV per atom; density of states at the Fermi level = 7.70 states/eV/f.u.; calculated volume = 112.55 Å³ per cell
1.0
4.874 0.000 0.000
0.000 4.874 0.000
0.000 0.000 4.738
Tc Ta Fe Cs
1 1 2 1
Cartesian
0.000 0.000 0.000
0.000 0.000 2.369
2.437 0.000 0.000
0.000 2.437 0.000
2.437 2.437 2.369